[1]
This record from the Alexandria database describes CaErHg2 after structural relaxation. The functional is PBE-GGA.

**Formation energy from the elements**: -0.364 eV per atom
**VASP energy**: -2.16 eV/atom

a b c (Å): 3.883 3.883 26.524
angles (deg): 90.00 90.00 120.00
Positions (direct):
Ca: 0.000 0.000 0.000
Ca: 0.333 0.667 0.667
Ca: 0.667 0.333 0.333
Er: 0.000 0.000 0.166
Er: 0.333 0.667 0.833
Er: 0.667 0.333 0.500
Hg: 0.000 0.000 0.419
Hg: 0.000 0.000 0.580
Hg: 0.333 0.667 0.086
Hg: 0.333 0.667 0.247
Hg: 0.667 0.333 0.753
Hg: 0.667 0.333 0.913

---

[2]
This record from the Alexandria database describes CeY2Er3S6 after structural relaxation. The functional is PBE-GGA.

**Formation energy without anion corrections**: -23.86 eV/f.u.
**VASP energy**: -6.76 eV/atom

a b c (Å): 8.744 8.744 7.858
angles (deg): 103.15 103.15 25.73
Positions (direct):
Ce: 0.000 0.000 0.000
Y: 0.335 0.335 0.671
Y: 0.665 0.665 0.329
Er: 0.000 0.000 0.500
Er: 0.335 0.335 0.165
Er: 0.665 0.665 0.835
S: 0.167 0.167 0.586
S: 0.171 0.171 0.082
S: 0.499 0.499 0.260
S: 0.501 0.501 0.740
S: 0.829 0.829 0.918
S: 0.833 0.833 0.414